Entry 1:
Computed, not measured: an optimized crystal structure of Cu2Te3 at the GGA-PBE level of DFT. Values from VASP.

Values from the calculation:
**Electronic total energy**: -3.46 eV/atom
**ΔE_f (raw)**: 6 kJ/mol of atoms
**Symmetry**: Fdd2 (43)

Quantum ESPRESSO input file:
```
&SYSTEM
  ibrav = 0, nat = 10, ntyp = 2
/
ATOMIC_SPECIES
Te 127.60 Te.upf
Cu 63.55 Cu.upf
CELL_PARAMETERS angstrom
-7.321 -2.517 -4.380
-7.884 1.537 0.530
-1.485 2.914 -5.493
ATOMIC_POSITIONS crystal
Te 0.859 0.141 0.141
Te 0.109 0.391 0.391
Te 0.522 0.592 0.922
Te 0.658 0.728 0.286
Te 0.328 0.286 0.728
Te 0.964 0.922 0.592
Cu 0.761 0.860 0.485
Cu 0.765 0.356 0.489
Cu 0.390 0.489 0.356
Cu 0.894 0.485 0.860
```

Entry 2:
Computed, not measured: an optimized crystal structure of CuTe5 at the GGA-PBE level of DFT. Values from VASP.

Values from the calculation:
**Electronic total energy**: -3.15 eV/atom
**Excess energy over the best structure of this formula in the dataset**: 65 meV per atom
**ΔE_f (raw)**: 14 kJ/mol of atoms
**Symmetry**: Cmmm (65)

Quantum ESPRESSO input file:
```
&SYSTEM
  ibrav = 0, nat = 6, ntyp = 2
/
ATOMIC_SPECIES
Te 127.60 Te.upf
Cu 63.55 Cu.upf
CELL_PARAMETERS angstrom
7.817 2.162 5.640
-8.489 1.504 -4.823
-2.538 -1.367 4.041
ATOMIC_POSITIONS crystal
Te 0.305 0.695 0.500
Te 0.902 0.098 0.000
Te 0.098 0.902 0.000
Te 0.000 0.000 0.500
Te 0.695 0.305 0.500
Cu 0.500 0.500 0.000
```

Entry 3:
Computed, not measured: an optimized crystal structure of Cu3Te at the GGA-PBE level of DFT. Values from VASP.

Values from the calculation:
**Electronic total energy**: -3.67 eV/atom
**ΔE_f (raw)**: 18 kJ/mol of atoms
**Symmetry**: P-6m2 (187)

Quantum ESPRESSO input file:
```
&SYSTEM
  ibrav = 0, nat = 4, ntyp = 2
/
ATOMIC_SPECIES
Cu 63.55 Cu.upf
Te 127.60 Te.upf
CELL_PARAMETERS angstrom
3.975 0.000 0.000
-1.987 3.442 0.000
0.000 0.000 5.255
ATOMIC_POSITIONS crystal
Cu 0.000 0.000 0.484
Cu 0.667 0.333 0.250
Cu 0.000 0.000 0.016
Te 0.667 0.333 0.750
```

Entry 4:
Computed, not measured: an optimized crystal structure of Cu6Te at the GGA-PBE level of DFT. Values from VASP.

Values from the calculation:
**Electronic total energy**: -3.14 eV/atom
**ΔE_f (raw)**: 79 kJ/mol of atoms
**Symmetry**: Im-3m (229)

Quantum ESPRESSO input file:
```
&SYSTEM
  ibrav = 0, nat = 7, ntyp = 2
/
ATOMIC_SPECIES
Cu 63.55 Cu.upf
Te 127.60 Te.upf
CELL_PARAMETERS angstrom
5.599 0.000 0.000
-1.866 5.279 0.000
-1.866 -2.639 4.571
ATOMIC_POSITIONS crystal
Cu 0.750 0.500 0.250
Cu 0.500 0.750 0.250
Cu 0.250 0.750 0.500
Cu 0.500 0.250 0.750
Cu 0.750 0.250 0.500
Cu 0.250 0.500 0.750
Te 0.000 0.000 0.000
```

Entry 5:
Computed, not measured: an optimized crystal structure of CuTe4 at the GGA-PBE level of DFT. Values from VASP.

Values from the calculation:
**Electronic total energy**: -3.14 eV/atom
**Excess energy over the best structure of this formula in the dataset**: 103 meV per atom
**ΔE_f (raw)**: 19 kJ/mol of atoms
**Symmetry**: Im-3m (229)

Quantum ESPRESSO input file:
```
&SYSTEM
  ibrav = 0, nat = 5, ntyp = 2
/
ATOMIC_SPECIES
Te 127.60 Te.upf
Cu 63.55 Cu.upf
CELL_PARAMETERS angstrom
-2.753 2.014 4.605
-3.279 0.707 -4.646
1.110 -5.575 0.724
ATOMIC_POSITIONS crystal
Te 0.500 0.000 0.000
Te 0.000 0.500 0.000
Te 0.500 0.500 0.500
Te 0.000 0.000 0.500
Cu 0.000 0.000 0.000
```

Entry 6:
Computed, not measured: an optimized crystal structure of Cu3Te at the GGA-PBE level of DFT. Values from VASP.

Values from the calculation:
**Electronic total energy**: -3.73 eV/atom
**ΔE_f (raw)**: 13 kJ/mol of atoms
**Symmetry**: Pmmn (59)

Quantum ESPRESSO input file:
```
&SYSTEM
  ibrav = 0, nat = 8, ntyp = 2
/
ATOMIC_SPECIES
Cu 63.55 Cu.upf
Te 127.60 Te.upf
CELL_PARAMETERS angstrom
4.188 0.000 0.000
0.000 5.253 0.000
0.000 0.000 5.937
ATOMIC_POSITIONS crystal
Cu 0.500 0.255 0.870
Cu 0.000 0.755 0.130
Cu 0.500 0.000 0.238
Cu 0.000 0.500 0.762
Cu 0.000 0.245 0.130
Cu 0.500 0.745 0.870
Te 0.000 0.000 0.660
Te 0.500 0.500 0.340
```